Zr2TiCo | PBE | relaxed

abc: 4.6571 4.6571 3.2963
angles: 90.00 90.00 90.00
With the nearest neighbours (Å) after each atom.
Space group P4/mmm (No. 123)
One atom of each set of equivalent atoms:
Zr: 0.0000 0.5000 0.0000 [2 per cell]  4 Co 2.85, 4 Ti 2.85
Ti: 0.0000 0.0000 0.5000 [1 per cell]  8 Zr 2.85
Co: 0.5000 0.5000 0.5000 [1 per cell]  8 Zr 2.85

Output
The calculation puts the energy relative to the lowest polymorph listed for this composition at 0.405 eV/f.u. The calculated formation energy is -0.021 eV per atom.

MgTlPt2 | PBE | relaxed

abc: 3.0818 3.0818 27.2304
angles: 90.00 90.00 120.00
With the nearest neighbours (Å) after each atom.
Space group R3m (No. 160, hexagonal axes)
One atom of each set of equivalent atoms:
Mg: 0.0000 0.0000 0.0000 [3 per cell]  3 Pt 2.64
Tl: 0.0000 0.0000 0.7623 [3 per cell]  3 Pt 2.89, 6 Tl 3.08, 3 Mg 3.15
Pt: 0.0000 0.0000 0.2615 [3 per cell]  3 Mg 2.64, 3 Pt 2.86
Pt: 0.0000 0.0000 0.5127 [3 per cell]  9 Pt 2.86-3.08, 3 Tl 2.89

Output
The calculated formation energy is -0.031 eV per atom.

Rb2CeErSe4 | PBE | relaxed

abc: 7.4757 4.3145 8.3635
angles: 90.00 107.29 90.00
With the nearest neighbours (Å) after each atom.
Space group P2/m (No. 10)
One atom of each set of equivalent atoms:
Rb: 0.0000 0.0000 0.0000 [1 per cell]  6 Se 3.51-3.52
Rb: 0.5000 0.5000 0.0000 [1 per cell]  6 Se 3.44
Ce: 0.0000 0.5000 0.5000 [1 per cell]  6 Se 2.98-3.00
Er: 0.5000 0.0000 0.5000 [1 per cell]  6 Se 2.89-2.91
Se: 0.2426 0.0000 0.6983 [2 per cell]  1 Er 2.89, 2 Ce 2.98
Se: 0.2775 0.5000 0.3051 [2 per cell]  2 Er 2.91, 1 Ce 3.00

Output
The formation energy from raw total energies is -1.693 eV/atom.

Record-wise spin magnetization values, in μB/cell: 1.23, 0.00, 1.01